1.
SrCrPb3 PBE optimized geometry; space-group type = Pm-3m, No. 221; magnetic moment = 0.471 μB/atom; E above lowest polymorph = 0.0 meV per atom; theoretical density = 8.29 g cm⁻³
1.0
5.3421 0.0000 0.0000
0.0000 5.3421 0.0000
0.0000 0.0000 5.3421
Sr Cr Pb
1 1 3
Direct
0.0000 0.0000 0.0000
0.5000 0.5000 0.5000
0.0000 0.5000 0.5000
0.5000 0.0000 0.5000
0.5000 0.5000 0.0000



2.
ScNbCl3 PBE optimized geometry; uncorrected formation energy = -0.413 eV per atom; space-group type = Pm-3m, No. 221; magnetic moment = 0.965 μB/atom; E above lowest polymorph = 0.0 meV per atom; theoretical density = 3.24 g cm⁻³
1.0
5.0022 0.0000 0.0000
0.0000 5.0022 0.0000
0.0000 0.0000 5.0022
Sc Nb Cl
1 1 3
Direct
0.0000 0.0000 0.0000
0.5000 0.5000 0.5000
0.0000 0.0000 0.5000
0.0000 0.5000 0.0000
0.5000 0.0000 0.0000



3.
Ho6CdSi2 PBE optimized geometry; uncorrected formation energy = -0.481 eV per atom; space-group type = Immm, No. 71; magnetic moment = 0.000 μB/atom; theoretical density = 8.27 g cm⁻³
1.0
-4.7666 4.7768 5.1087
4.7666 -4.7768 5.1087
4.7666 4.7768 -5.1087
Ho Cd Si
12 2 4
Direct
0.0248 0.8219 0.2029
0.2461 0.5449 0.2989
0.2461 0.9472 0.7011
0.2738 0.3186 0.5924
0.2738 0.6814 0.9552
0.3810 0.1781 0.2029
0.6190 0.8219 0.7971
0.7262 0.3186 0.0448
0.7262 0.6814 0.4076
0.7539 0.0528 0.2989
0.7539 0.4551 0.7011
0.9752 0.1781 0.7971
0.0000 0.5000 0.5000
0.5000 0.0000 0.5000
0.0000 0.1419 0.1419
0.0000 0.8581 0.8581
0.3829 0.3829 0.0000
0.6171 0.6171 0.0000



4.
MgIrRu2 PBE optimized geometry; space-group type = P4/mmm, No. 123; magnetic moment = 0.001 μB/atom; DFT total energy = -7.102 eV per atom; theoretical density = 11.84 g cm⁻³
1.0
3.8417 0.0000 0.0000
0.0000 3.8417 0.0000
0.0000 0.0000 3.9795
Mg Ir Ru
1 1 2
Direct
0.0000 0.0000 0.0000
0.5000 0.5000 0.0000
0.0000 0.5000 0.5000
0.5000 0.0000 0.5000



5.
Pm5Nd4Ho PBE optimized geometry; space-group type = C2/m, No. 12; magnetic moment = 0.000 μB/atom; E above lowest polymorph = 0.0 meV per atom; theoretical density = 7.08 g cm⁻³
1.0
13.0348 -1.8268 0.0000
13.0348 1.8268 0.0000
-1.0318 0.0000 7.2240
Pm Nd Ho
5 4 1
Direct
0.0000 0.0000 0.0000
0.1995 0.1995 0.1001
0.4012 0.4012 0.6994
0.5988 0.5988 0.3006
0.8005 0.8005 0.8999
0.1995 0.1995 0.5995
0.4012 0.4012 0.2016
0.5988 0.5988 0.7984
0.8005 0.8005 0.4005
0.0000 0.0000 0.5000



6.
Pr9HoSn2 PBE optimized geometry; space-group type = P4/mmm, No. 123; magnetic moment = 0.000 μB/atom; DFT total energy = -4.914 eV per atom; theoretical density = 7.13 g cm⁻³
1.0
5.0230 0.0000 0.0000
0.0000 5.0230 0.0000
0.0000 0.0000 15.4293
Pr Ho Sn
9 1 2
Direct
0.0000 0.0000 0.0000
0.0000 0.0000 0.3387
0.0000 0.0000 0.6613
0.0000 0.5000 0.1752
0.0000 0.5000 0.5000
0.0000 0.5000 0.8248
0.5000 0.0000 0.1752
0.5000 0.0000 0.5000
0.5000 0.0000 0.8248
0.5000 0.5000 0.0000
0.5000 0.5000 0.3376
0.5000 0.5000 0.6624



7.
ScTiCdI2 PBE optimized geometry; uncorrected formation energy = 0.346 eV per atom; space-group type = P4/mmm, No. 123; magnetic moment = 0.526 μB/atom; theoretical density = 4.73 g cm⁻³
1.0
5.3816 0.0000 0.0000
0.0000 5.3816 0.0000
0.0000 0.0000 5.5627
Sc Ti Cd I
1 1 1 2
Direct
0.0000 0.0000 0.0000
0.5000 0.5000 0.5000
0.5000 0.5000 0.0000
0.0000 0.5000 0.5000
0.5000 0.0000 0.5000



8.
La2Dy5Er4 PBE optimized geometry; space-group type = C2/m, No. 12; magnetic moment = 0.000 μB/atom; E above lowest polymorph = 0.0 meV per atom; theoretical density = 8.17 g cm⁻³
1.0
11.9431 -1.7189 0.0000
11.9431 1.7189 0.0000
-1.0727 0.0000 8.7053
La Dy Er
2 5 4
Direct
0.0934 0.0934 0.2469
0.9066 0.9066 0.7531
0.1404 0.1404 0.6266
0.2349 0.2349 0.3247
0.5000 0.5000 0.5000
0.7651 0.7651 0.6753
0.8596 0.8596 0.3734
0.0462 0.0462 0.8628
0.3217 0.3217 0.0266
0.6783 0.6783 0.9734
0.9538 0.9538 0.1372



9.
Pr2GdSn PBE optimized geometry; space-group type = P4/mmm, No. 123; magnetic moment = 1.926 μB/atom; E above lowest polymorph = 0.0 meV per atom; theoretical density = 7.63 g cm⁻³
1.0
4.9649 0.0000 0.0000
0.0000 4.9649 0.0000
0.0000 0.0000 4.9241
Pr Gd Sn
2 1 1
Direct
0.0000 0.5000 0.0000
0.5000 0.0000 0.0000
0.0000 0.0000 0.5000
0.5000 0.5000 0.5000



10.
NiRh2Au PBE optimized geometry; space-group type = P4mm, No. 99; magnetic moment = 0.101 μB/atom; E above lowest polymorph = 0.0 meV per atom; theoretical density = 13.28 g cm⁻³
1.0
2.7674 0.0000 0.0000
0.0000 2.7674 0.0000
0.0000 0.0000 7.5349
Ni Rh Au
1 2 1
Direct
0.0000 0.0000 0.0000
0.0000 0.0000 0.4655
0.5000 0.5000 0.2237
0.5000 0.5000 0.7485